Density functional theory data (GGA-PBE) for an optimized crystal structure of SmF.

Output
Crystal system ... cubic
Electronic total energy ... -10.8 eV per formula unit
Distance to the lowest polymorph of the same formula ... 0.142 eV per atom

a = 5.104 Å, b = 5.104 Å, c = 5.104 Å
α = 90.00°, β = 90.00°, γ = 90.00°
Space group Fm-3m (No. 225)
Unique sites:
Sm (0.000, 0.000, 0.000) x4
F (0.000, 0.000, 0.500) x4